1.
The following is a DFT calculation (GGA-PBE) of an optimized crystal structure of BaLi2Br.

abc: 9.1726 9.1726 9.1726
angles: 26.15 26.15 26.15
Fractional positions:
Ba: 0.4940 0.4940 0.4940
Br: 0.7293 0.7293 0.7293
Li: 0.0135 0.0135 0.0135
Li: 0.2632 0.2632 0.2632

Results
Final energy, eV per formula unit: -9.8
DOS at the Fermi energy, states/eV/f.u.: 1.42


2.
The following is a DFT calculation (GGA-PBE) of an optimized crystal structure of Ba2LiBr.

abc: 8.1057 8.1057 8.1057
angles: 144.89 144.89 50.50
Fractional positions:
Ba: 0.0000 0.0000 0.0000
Ba: 0.2500 0.7500 0.5000
Br: 0.5000 0.5000 0.0000
Li: 0.7500 0.2500 0.5000

Results
Final energy, eV per formula unit: -9.6
DOS at the Fermi energy, states/eV/f.u.: 4.05


3.
The following is a DFT calculation (GGA-PBE) of an optimized crystal structure of Ba2LiBr2.

abc: 9.3246 9.3246 4.1194
angles: 90.00 90.00 90.00
Fractional positions:
Ba: 0.1688 0.6688 0.5000
Ba: 0.6688 0.8312 0.5000
Ba: 0.8312 0.3312 0.5000
Ba: 0.3312 0.1688 0.5000
Br: 0.3693 0.8693 0.0000
Br: 0.8693 0.6307 0.0000
Br: 0.6307 0.1307 0.0000
Br: 0.1307 0.3693 0.0000
Li: 0.0000 0.0000 0.0000
Li: 0.5000 0.5000 0.0000

Results
Final energy, eV per formula unit: -14.8
DOS at the Fermi energy, states/eV/f.u.: 3.43


4.
The following is a DFT calculation (GGA-PBE) of an optimized crystal structure of Ba2LiBr.

abc: 6.2201 6.2759 4.0116
angles: 90.00 90.00 90.00
Fractional positions:
Ba: 0.0000 0.0000 0.0000
Ba: 0.5000 0.5000 0.0000
Br: 0.5000 0.0000 0.5000
Li: 0.0000 0.5000 0.5000

Results
Final energy, eV per formula unit: -9.9
DOS at the Fermi energy, states/eV/f.u.: 4.64


5.
The following is a DFT calculation (GGA-PBE) of an optimized crystal structure of Ba2Li2Br.

abc: 6.9703 6.9703 6.2788
angles: 56.28 56.28 90.00
Fractional positions:
Ba: 0.7500 0.2500 0.5000
Ba: 0.2500 0.7500 0.5000
Br: 0.0000 0.0000 0.0000
Li: 0.3362 0.3362 0.3277
Li: 0.6638 0.6638 0.6723

Results
Final energy, eV per formula unit: -10.9
DOS at the Fermi energy, states/eV/f.u.: 6.22


6.
The following is a DFT calculation (GGA-PBE) of an optimized crystal structure of BaLiBr2.

abc: 4.0973 4.0973 7.7855
angles: 90.00 90.00 90.00
Fractional positions:
Ba: 0.5000 0.5000 0.7821
Br: 0.0000 0.0000 0.0040
Br: 0.5000 0.5000 0.3688
Li: 0.0000 0.0000 0.3451

Results
Final energy, eV per formula unit: -12.8
DOS at the Fermi energy, states/eV/f.u.: 2.00


7.
The following is a DFT calculation (GGA-PBE) of an optimized crystal structure of BaLiBr2.

abc: 6.6822 6.6822 4.5155
angles: 88.45 88.45 39.73
Fractional positions:
Ba: 0.2846 0.2846 0.1306
Br: 0.9939 0.9939 0.1870
Br: 0.7081 0.7081 0.6401
Li: 0.5135 0.5135 0.5423

Results
Final energy, eV per formula unit: -13.0
DOS at the Fermi energy, states/eV/f.u.: 1.55


8.
The following is a DFT calculation (GGA-PBE) of an optimized crystal structure of Ba2Li2Br.

abc: 9.1952 9.1952 5.2421
angles: 90.00 90.00 90.00
Fractional positions:
Ba: 0.3183 0.8183 0.0000
Ba: 0.8183 0.6817 0.0000
Ba: 0.6817 0.1817 0.0000
Ba: 0.1817 0.3183 0.0000
Br: 0.0000 0.0000 0.0000
Br: 0.5000 0.5000 0.0000
Li: 0.1072 0.6072 0.5000
Li: 0.6072 0.8928 0.5000
Li: 0.8928 0.3928 0.5000
Li: 0.3928 0.1072 0.5000

Results
Final energy, eV per formula unit: -11.6
DOS at the Fermi energy, states/eV/f.u.: 9.95


9.
The following is a DFT calculation (GGA-PBE) of an optimized crystal structure of BaLiBr2.

abc: 4.0009 4.2663 7.3069
angles: 89.98 90.00 90.00
Fractional positions:
Ba: 0.5000 0.7500 0.7500
Br: 0.0000 0.2497 0.9966
Br: 0.0000 0.2503 0.5034
Li: 0.5000 0.2500 0.2500

Results
Final energy, eV per formula unit: -12.9
DOS at the Fermi energy, states/eV/f.u.: 1.72


10.
The following is a DFT calculation (GGA-PBE) of an optimized crystal structure of BaLi2Br.

abc: 5.6522 5.6522 5.6522
angles: 60.00 60.00 60.00
Fractional positions:
Ba: 0.5000 0.5000 0.5000
Br: 0.0000 0.0000 0.0000
Li: 0.2500 0.2500 0.2500
Li: 0.7500 0.7500 0.7500

Results
Final energy, eV per formula unit: -8.1
DOS at the Fermi energy, states/eV/f.u.: 5.02


11.
The following is a DFT calculation (GGA-PBE) of an optimized crystal structure of BaLi2Br.

abc: 5.7472 5.7472 5.7472
angles: 60.00 60.00 60.00
Fractional positions:
Ba: 0.5000 0.5000 0.5000
Br: 0.7500 0.7500 0.7500
Li: 0.0000 0.0000 0.0000
Li: 0.2500 0.2500 0.2500

Results
Final energy, eV per formula unit: -9.1
DOS at the Fermi energy, states/eV/f.u.: 2.62


12.
The following is a DFT calculation (GGA-PBE) of an optimized crystal structure of BaLi2MnBr8.

abc: 6.6501 6.6501 8.8872
angles: 90.00 90.00 120.00
Fractional positions:
Ba: 0.0000 0.0000 0.0000
Li: 0.6667 0.3333 0.2888
Li: 0.3333 0.6667 0.7112
Mn: 0.0000 0.0000 0.5000
Br: 0.3333 0.6667 0.9872
Br: 0.2747 0.3163 0.3346
Br: 0.6837 0.9584 0.3346
Br: 0.6667 0.3333 0.0128
Br: 0.3163 0.0416 0.6654
Br: 0.7253 0.6837 0.6654
Br: 0.9584 0.2747 0.6654
Br: 0.0416 0.7253 0.3346

Results
Final energy, eV per formula unit: -42.9


13.
The following is a DFT calculation (GGA-PBE) of an optimized crystal structure of BaLiMnBr2.

abc: 6.2081 7.0296 6.2081
angles: 90.00 90.00 90.00
Fractional positions:
Mn: 0.0000 0.5000 0.0000
Ba: 0.0000 0.0000 0.0000
Br: 0.0000 0.0000 0.5000
Br: 0.5000 0.0000 0.0000
Li: 0.5000 0.5000 0.5000

Results
Final energy, eV per formula unit: -17.7
DOS at the Fermi energy, states/eV/f.u.: 2.58


14.
The following is a DFT calculation (GGA-PBE) of an optimized crystal structure of BaLi2BrN.

abc: 4.0044 7.0989 7.8989
angles: 90.00 90.00 106.38
Fractional positions:
Ba: 0.4560 0.9121 0.7500
Ba: 0.5440 0.0879 0.2500
Li: 0.1320 0.2640 0.9335
Li: 0.8680 0.7360 0.0665
Li: 0.1320 0.2640 0.5665
Li: 0.8680 0.7360 0.4335
Br: 0.7249 0.4498 0.7500
Br: 0.2751 0.5502 0.2500
N: 0.0000 0.0000 0.0000
N: 0.0000 0.0000 0.5000

Results
Final energy, eV per formula unit: -19.7
DOS at the Fermi energy, states/eV/f.u.: 0.32